DFT (PBE-GGA) results for an optimized crystal structure of BaPuBO6.

a = 5.463 Å, b = 6.235 Å, c = 5.792 Å
α = 94.36°, β = 83.80°, γ = 58.62°
Each line ends with the local moment (μB).
Fractional coordinates of all 9 atoms:
1 O 0.379 0.042 0.703  -0.03
2 O 0.882 0.698 0.675  -0.03
3 O 0.476 0.439 0.676  -0.08
4 O 0.377 0.500 0.231  -0.14
5 O 0.107 0.246 0.297  -0.07
6 O 0.715 0.959 0.367  -0.03
7 Pu 0.298 0.345 0.477  1.42
8 Ba 0.100 0.885 0.996  0.00
9 B 0.665 0.886 0.579  0.00

Values from the calculation:
uncorrected formation energy: -2.4833 eV per atom

***

DFT (PBE-GGA) results for an optimized crystal structure of YAl2Os.

a = 9.263 Å, b = 9.263 Å, c = 9.263 Å
α = 19.30°, β = 19.30°, γ = 19.30°
Fractional coordinates of all 4 atoms:
1 Al 0.516 0.516 0.516
2 Al 0.984 0.984 0.984
3 Y 0.750 0.750 0.750
4 Os 0.250 0.250 0.250

Values from the calculation:
calculated total energy: -6.27 eV per atom

***

DFT (PBE-GGA) results for an optimized crystal structure of ScBeTl.

a = 3.672 Å, b = 10.810 Å, c = 3.672 Å
α = 80.05°, β = 119.96°, γ = 99.94°
Fractional coordinates of all 6 atoms:
1 Sc 0.623 0.766 0.805
2 Sc 0.729 0.080 0.699
3 Tl 0.880 0.540 0.549
4 Tl 0.473 0.307 0.956
5 Be 0.009 0.923 0.418
6 Be 0.342 0.923 0.085

Values from the calculation:
energy relative to the lowest polymorph listed for this composition: 15 meV/atom

***

DFT (PBE-GGA) results for an optimized crystal structure of NaSmHg2.

a = 3.743 Å, b = 3.743 Å, c = 9.712 Å
α = 78.89°, β = 78.89°, γ = 60.00°
Fractional coordinates of all 4 atoms:
1 Hg 0.251 0.251 0.248
2 Hg 0.083 0.083 0.752
3 Sm 0.667 0.667 0.000
4 Na 0.500 0.500 0.501

Values from the calculation:
energy relative to the lowest polymorph listed for this composition: 148 meV/atom